Here is a geometry-optimized BaPr4NdS8 structure from Alexandria. Energies are from PBE-GGA.

It has space group R3m (No. 160, hexagonal axes), with a = 8.5496 Å, b = 8.5496 Å, c = 20.8840 Å, α = 90.00°, β = 90.00° and γ = 120.00°. The asymmetric unit holds Ba at (0.0000, 0.0000, 0.0000), Pr at (0.0000, 0.0000, 0.2496), Pr at (0.1688, 0.3375, 0.4575), Nd at (0.0000, 0.0000, 0.6264), S at (0.0000, 0.0000, 0.3822), S at (0.0000, 0.0000, 0.8590), S at (0.0432, 0.5216, 0.3793) and S at (0.1772, 0.3544, 0.2061).

The formation energy (no corrections) comes out at -1.95 eV/atom. Its spin magnetization is 0.0 μB/cell. The calculation puts the total energy at -258.376 eV per cell.